Tb8Ga2Hg: relaxed, PBE-GGA.

Properties
E_tot	-46.36	eV/cell
SG	C2/m, No. 12
calculated volume	311	Å³/cell

POSCAR file:
```
Tb8Ga2Hg
1.0
9.001 -2.507 0.000
9.001 2.507 0.000
-1.506 0.000 6.880
Tb Ga Hg
8 2 1
direct
0.030 0.030 0.252
0.199 0.199 0.808
0.334 0.334 0.544
0.408 0.408 0.040
0.592 0.592 0.960
0.666 0.666 0.456
0.801 0.801 0.192
0.970 0.970 0.748
0.196 0.196 0.229
0.804 0.804 0.771
0.500 0.500 0.500
```